(1)
SbPAu2 | Alexandria via LeMat-Bulk | GGA-PBE | relaxed; excess energy over the best structure of this formula in the dataset = 0.796 eV per formula unit; total energy = -14.917 eV/cell; space-group type = I4/mmm; ρ = 11374 kg/m3
1.0
-1.9985 1.9985 4.9960
1.9985 -1.9985 4.9960
1.9985 1.9985 -4.9960
Sb P Au
1 1 2
Cartesian
0.0000 0.0000 0.0000
0.0000 0.0000 4.9960
1.9985 0.0000 2.4980
0.0000 1.9985 2.4980

=====

(2)
SbPAu2 | Alexandria via LeMat-Bulk | GGA-PBE | relaxed; excess energy over the best structure of this formula in the dataset = 1.136 eV per formula unit; total energy = -14.576 eV/cell; space-group type = C2/m; ρ = 11343 kg/m3
1.0
2.8462 -4.7940 0.0000
2.8462 4.7940 0.0000
-0.1920 0.0000 2.9326
Sb P Au
1 1 2
Cartesian
0.0000 0.0000 0.0000
2.8462 0.0000 0.0000
1.3271 2.3970 1.4663
1.3271 -2.3970 1.4663

=====

| no. | formation energy (no corrections) (kJ/mol of formula units) |
| --- | --- |
| 1 | 112.9 |
| 2 | 145.8 |